# 1
A geometry-optimized La2Ti2Te structure. Source: Alexandria via LeMat-Bulk, functional PBE-GGA. Values from VASP.

Values from the calculation:
Distance to the lowest polymorph of the same formula, meV per atom: 665
E, eV per atom: -5.275
Raw formation energy, meV per atom: 482
Crystal system: tetragonal

```
&SYSTEM
  ibrav = 0, nat = 5, ntyp = 3
/
ATOMIC_SPECIES
La 138.91 La.upf
Ti 47.87 Ti.upf
Te 127.60 Te.upf
CELL_PARAMETERS angstrom
-2.245 2.245 6.700
2.245 -2.245 6.700
2.245 2.245 -6.700
ATOMIC_POSITIONS angstrom
La 2.245 0.000 3.350
La 0.000 2.245 3.350
Ti 0.000 0.000 1.011
Ti 0.000 0.000 12.389
Te 0.000 0.000 6.700
```

# 2
A geometry-optimized Ho2CF structure. Source: Alexandria via LeMat-Bulk, functional PBE-GGA. Values from VASP.

Values from the calculation:
Distance to the lowest polymorph of the same formula, meV per atom: 101
E, eV per atom: -6.548
Raw formation energy, meV per atom: -1485
Crystal system: trigonal

```
&SYSTEM
  ibrav = 0, nat = 4, ntyp = 3
/
ATOMIC_SPECIES
Ho 164.93 Ho.upf
C 12.01 C.upf
F 19.00 F.upf
CELL_PARAMETERS angstrom
1.753 1.012 6.246
-1.753 1.012 6.246
0.000 -2.024 6.246
ATOMIC_POSITIONS angstrom
Ho 0.000 0.000 0.000
Ho 0.000 0.000 3.643
C 0.000 0.000 11.213
F 0.000 0.000 7.974
```

# 3
A geometry-optimized HgBOs3 structure. Source: Alexandria via LeMat-Bulk, functional PBE-GGA. Values from VASP.

Values from the calculation:
Distance to the lowest polymorph of the same formula, meV per atom: 3405
E, eV per atom: -4.030
Crystal system: cubic

```
&SYSTEM
  ibrav = 0, nat = 5, ntyp = 3
/
ATOMIC_SPECIES
Hg 200.59 Hg.upf
B 10.81 B.upf
Os 190.23 Os.upf
CELL_PARAMETERS angstrom
5.009 0.000 0.000
0.000 5.009 0.000
0.000 0.000 5.009
ATOMIC_POSITIONS angstrom
Hg 0.000 0.000 0.000
B 2.504 2.504 2.504
Os 0.000 0.000 2.504
Os 0.000 2.504 0.000
Os 2.504 0.000 0.000
```

# 4
A geometry-optimized ZrBIr2 structure. Source: Alexandria via LeMat-Bulk, functional PBE-GGA. Values from VASP.

Values from the calculation:
E, eV per atom: -8.716
Crystal system: tetragonal

```
&SYSTEM
  ibrav = 0, nat = 8, ntyp = 3
/
ATOMIC_SPECIES
Zr 91.22 Zr.upf
B 10.81 B.upf
Ir 192.22 Ir.upf
CELL_PARAMETERS angstrom
-3.406 3.406 2.609
3.406 -3.406 2.609
3.406 3.406 -2.609
ATOMIC_POSITIONS angstrom
Zr 0.000 0.000 0.000
Zr 0.000 3.406 1.305
B 3.406 0.000 1.305
B 0.000 0.000 2.609
Ir 1.703 -0.995 1.957
Ir 2.411 1.703 0.652
Ir 1.703 4.401 -0.652
Ir 0.995 1.703 3.261
```

# 5
A geometry-optimized EuGaPt4 structure. Source: Alexandria via LeMat-Bulk, functional PBE-GGA. Values from VASP.

Values from the calculation:
E, eV per atom: -6.896
Crystal system: cubic

```
&SYSTEM
  ibrav = 0, nat = 6, ntyp = 3
/
ATOMIC_SPECIES
Eu 151.96 Eu.upf
Ga 69.72 Ga.upf
Pt 195.08 Pt.upf
CELL_PARAMETERS angstrom
0.000 3.823 3.823
3.823 0.000 3.823
3.823 3.823 0.000
ATOMIC_POSITIONS angstrom
Eu 0.000 0.000 0.000
Ga 5.735 5.735 5.735
Pt 2.872 2.872 2.872
Pt 4.774 4.774 2.872
Pt 4.774 2.872 4.774
Pt 2.872 4.774 4.774
```

# 6
A geometry-optimized SrGaGe2 structure. Source: Alexandria via LeMat-Bulk, functional PBE-GGA. Values from VASP.

Values from the calculation:
E, eV per atom: -3.672
Crystal system: orthorhombic

```
&SYSTEM
  ibrav = 0, nat = 4, ntyp = 3
/
ATOMIC_SPECIES
Sr 87.62 Sr.upf
Ga 69.72 Ga.upf
Ge 72.64 Ge.upf
CELL_PARAMETERS angstrom
4.253 0.000 0.000
0.000 3.009 4.189
0.000 -3.009 4.189
ATOMIC_POSITIONS angstrom
Sr 0.000 0.000 0.000
Ga 2.126 0.000 4.700
Ge 2.126 -1.232 2.350
Ge 2.126 1.232 2.350
```

# 7
A geometry-optimized PmGa3Pt3 structure. Source: Alexandria via LeMat-Bulk, functional PBE-GGA. Values from VASP.

Values from the calculation:
Distance to the lowest polymorph of the same formula, meV per atom: 0
E, eV per atom: -5.339
Crystal system: trigonal

```
&SYSTEM
  ibrav = 0, nat = 14, ntyp = 3
/
ATOMIC_SPECIES
Pm 145.00 Pm.upf
Ga 69.72 Ga.upf
Pt 195.08 Pt.upf
CELL_PARAMETERS angstrom
3.444 1.988 6.365
-3.444 1.988 6.365
0.000 -3.977 6.365
ATOMIC_POSITIONS angstrom
Pm 0.000 0.000 3.061
Pm 0.000 0.000 16.033
Ga -0.651 -1.837 5.532
Ga -1.265 1.482 5.532
Ga -1.916 -0.354 13.563
Ga 1.916 0.354 5.532
Ga 1.265 -1.482 13.563
Ga 0.651 1.837 13.563
Pt -0.777 -1.455 8.086
Pt -1.648 -0.055 11.009
Pt -0.872 1.400 8.086
Pt 0.872 -1.400 11.009
Pt 1.648 0.055 8.086
Pt 0.777 1.455 11.009
```

# 8
A geometry-optimized Fe2RhI structure. Source: Alexandria via LeMat-Bulk, functional PBE-GGA. Values from VASP.

Values from the calculation:
Distance to the lowest polymorph of the same formula, meV per atom: 0
E, eV per atom: -5.757
Raw formation energy, meV per atom: 700
Crystal system: cubic

```
&SYSTEM
  ibrav = 0, nat = 4, ntyp = 3
/
ATOMIC_SPECIES
Fe 55.84 Fe.upf
Rh 102.91 Rh.upf
I 126.90 I.upf
CELL_PARAMETERS angstrom
0.000 3.116 3.116
3.116 0.000 3.116
3.116 3.116 0.000
ATOMIC_POSITIONS angstrom
Fe 1.558 1.558 1.558
Fe 4.674 4.674 4.674
Rh 0.000 0.000 0.000
I 3.116 3.116 3.116
```

# 9
A geometry-optimized CaPtW2 structure. Source: Alexandria via LeMat-Bulk, functional PBE-GGA. Values from VASP.

Values from the calculation:
Distance to the lowest polymorph of the same formula, meV per atom: 494
E, eV per atom: -7.823
Crystal system: tetragonal

```
&SYSTEM
  ibrav = 0, nat = 4, ntyp = 3
/
ATOMIC_SPECIES
Ca 40.08 Ca.upf
Pt 195.08 Pt.upf
W 183.84 W.upf
CELL_PARAMETERS angstrom
3.436 0.000 0.000
0.000 3.436 0.000
0.000 0.000 6.997
ATOMIC_POSITIONS angstrom
Ca 0.000 0.000 0.000
Pt 0.000 0.000 3.499
W 1.718 1.718 2.291
W 1.718 1.718 4.706
```

# 10
A geometry-optimized Li2TcPb structure. Source: Alexandria via LeMat-Bulk, functional PBE-GGA. Values from VASP.

Values from the calculation:
E, eV per atom: -3.950
Crystal system: tetragonal

```
&SYSTEM
  ibrav = 0, nat = 8, ntyp = 3
/
ATOMIC_SPECIES
Li 6.94 Li.upf
Tc 98.00 Tc.upf
Pb 207.20 Pb.upf
CELL_PARAMETERS angstrom
-3.627 3.627 2.710
3.627 -3.627 2.710
3.627 3.627 -2.710
ATOMIC_POSITIONS angstrom
Li 1.814 1.726 -0.677
Li 1.902 -1.814 3.387
Li 1.814 1.902 2.032
Li 1.726 5.441 0.677
Tc 0.000 0.000 0.000
Tc 0.000 3.627 1.355
Pb 3.627 0.000 1.355
Pb 0.000 0.000 2.710
```

# 11
A geometry-optimized Cr2SnSb structure. Source: Alexandria via LeMat-Bulk, functional PBE-GGA. Values from VASP.

Values from the calculation:
Distance to the lowest polymorph of the same formula, meV per atom: 96
E, eV per atom: -6.280
Raw formation energy, meV per atom: 563
Crystal system: tetragonal

```
&SYSTEM
  ibrav = 0, nat = 8, ntyp = 3
/
ATOMIC_SPECIES
Cr 52.00 Cr.upf
Sn 118.71 Sn.upf
Sb 121.76 Sb.upf
CELL_PARAMETERS angstrom
-3.722 3.722 3.132
3.722 -3.722 3.132
3.722 3.722 -3.132
ATOMIC_POSITIONS angstrom
Cr 1.861 1.820 -0.783
Cr 1.902 -1.861 3.916
Cr 1.861 1.902 2.349
Cr 1.820 5.583 0.783
Sn 3.722 0.000 1.566
Sn 0.000 0.000 3.132
Sb 0.000 0.000 0.000
Sb 0.000 3.722 1.566
```

# 12
A geometry-optimized Rb6AlBi4 structure. Source: Alexandria via LeMat-Bulk, functional PBE-GGA. Values from VASP.

Values from the calculation:
E, eV per atom: -2.525
Crystal system: hexagonal

```
&SYSTEM
  ibrav = 0, nat = 22, ntyp = 3
/
ATOMIC_SPECIES
Rb 85.47 Rb.upf
Al 26.98 Al.upf
Bi 208.98 Bi.upf
CELL_PARAMETERS angstrom
12.063 0.000 0.000
-6.031 10.447 0.000
0.000 0.000 8.636
ATOMIC_POSITIONS angstrom
Rb -2.617 5.453 0.000
Rb 0.000 3.021 2.465
Rb -3.415 8.936 2.465
Rb 2.616 1.510 6.783
Rb 2.617 5.453 0.000
Rb 0.000 9.986 0.000
Rb 6.031 0.460 4.318
Rb 3.414 4.993 4.318
Rb 3.415 8.936 2.465
Rb 9.447 1.510 6.783
Rb 6.031 7.426 6.783
Rb 8.648 4.993 4.318
Al 0.000 6.964 5.819
Al 6.031 3.482 1.501
Bi 0.000 4.183 6.082
Bi -2.409 8.355 6.082
Bi 0.000 6.964 2.993
Bi 3.622 2.091 1.764
Bi 2.409 8.355 6.082
Bi 6.031 3.482 7.311
Bi 8.440 2.091 1.764
Bi 6.031 6.264 1.764
```